DFT (PBE-GGA) results for a geometry-optimized ZnRuCl2 structure.

The uncorrected formation energy comes out at 0.33 eV per atom. Its offset from the most stable computed form is 0.6048 eV per atom. Its crystal system is tetragonal.

It has space group P4/mmm (No. 123), with a = 3.150 Å, b = 3.150 Å, c = 8.877 Å, α = 90.00°, β = 90.00° and γ = 90.00°. The distinct sites, in fractional coordinates, are Zn at (0.000, 0.000, 0.000), Ru at (0.000, 0.000, 0.500) and Cl at (0.500, 0.500, 0.318).